Compound: InPbW
Source: the Alexandria database
Functional: PBE
Structure: relaxed

Output
E_form ... 0.77 eV per atom
Total energy ... -5.700 eV per atom
Energy above the most stable polymorph in this dataset ... 0.0375 eV per atom
Magnetization ... 0.0 μB/f.u.
N(E_F) ... 2.4 states/eV per cell

```
3
Lattice="-0.0077 -5.9718 6.4461 -1.3323 -7.4263 4.2062 2.8419 -0.8983 0.0619" Properties=species:S:1:pos:R:3 pbc="T T T"
In 2.7357 -1.2158 0.3308
Pb 1.5494 -4.7615 3.3350
W 0.0586 -9.2175 7.1103
```

---

Compound: La2TbDy2Y4
Source: the Alexandria database
Functional: PBE
Structure: relaxed

Output
E_form ... 0.00 eV per atom
Total energy ... -5.508 eV per atom
Magnetization ... 0.0 μB/f.u.
N(E_F) ... 13.5 states/eV per cell

```
9
Lattice="-1.5645 1.2234 3.0459 6.6972 -5.8430 3.6164 3.0075 8.9310 -2.0424" Properties=species:S:1:pos:R:3 pbc="T T T"
La 3.9694 -3.4738 3.4341
La 4.1708 7.7852 1.1857
Tb 0.0000 0.0000 0.0000
Dy 4.4025 -0.0645 4.4576
Dy 3.7378 4.3760 0.1622
Y 4.9294 3.2504 3.3968
Y 3.2108 1.0610 1.2230
Y 0.4675 3.4099 1.0409
Y 7.6728 0.9015 3.5789
```

---

Compound: SmDyY6Ho2
Source: the Alexandria database
Functional: PBE
Structure: relaxed

Output
E_form ... 0.12 eV per atom
Total energy ... -5.607 eV per atom
Magnetization ... 0.0 μB/f.u.
N(E_F) ... 31.4 states/eV per cell

```
20
Lattice="9.1574 -1.9941 -2.0694 0.7606 8.5266 -1.9676 0.7606 -2.2822 8.4478" Properties=species:S:1:pos:R:3 pbc="T T T"
Sm 3.0499 7.7570 -2.2238
Sm 7.6286 -3.5068 6.6346
Dy 3.0499 1.6420 3.6686
Dy 7.6286 2.6082 0.7421
Y 1.1822 -0.7980 5.9997
Y 4.9177 -0.7779 6.0206
Y 9.4963 5.0483 -1.5890
Y 5.7609 5.0282 -1.6098
Y 3.9801 6.7712 1.0632
Y 2.1198 4.4358 -1.3605
Y 6.6985 -2.5210 3.3476
Y 8.5588 -0.1855 5.7712
Y 1.9854 4.6696 2.5189
Y 4.1145 2.9032 0.6857
Y 8.6932 -0.4194 1.8919
Y 6.5640 1.3471 3.7250
Ho 5.2905 4.3436 3.4005
Ho 0.8093 2.0101 0.9789
Ho 5.3880 -0.0933 1.0102
Ho 9.8692 2.2402 3.4319
```

---

Compound: NbHgS2
Source: the Alexandria database
Functional: PBE
Structure: relaxed

Output
Uncorrected formation energy ... -0.483 eV per atom
Total energy ... -5.140 eV per atom
Magnetization ... 1.0 μB/f.u.
N(E_F) ... 3.0 states/eV per cell

```
8
Lattice="6.9135 0.0000 0.4965 2.2587 7.1795 -2.6354 -2.2587 7.1795 2.6354" Properties=species:S:1:pos:R:3 pbc="T T T"
S -1.1253 8.4608 2.1856
S 2.3234 8.4608 0.6980
S 8.0388 5.8982 -1.6892
S 4.5901 5.8982 -0.2015
Nb 4.0558 7.2005 1.6900
Nb 2.8577 7.1585 -1.1936
Hg 6.3144 9.8527 -0.9453
Hg 0.5990 4.5062 1.4418
```

---

Compound: AcPm2NdHo
Source: the Alexandria database
Functional: PBE
Structure: relaxed

Output
E_form ... 0.34 eV per atom
Total energy ... -4.249 eV per atom
Magnetization ... 0.0 μB/f.u.
N(E_F) ... 13.8 states/eV per cell

```
10
Lattice="-3.6978 -5.2011 3.7104 7.2236 -3.1571 2.7736 -3.8812 5.2597 3.5049" Properties=species:S:1:pos:R:3 pbc="T T T"
Ac 2.5488 -0.9851 4.8309
Ac -2.9041 -2.1134 5.1580
Pm 0.3519 -3.5624 2.7002
Pm 5.0228 -2.1952 1.9286
Pm 3.1739 -4.7958 3.7838
Pm 2.2008 -0.9619 0.8450
Nd -0.9562 -0.8662 1.5043
Nd 0.6008 -2.2322 8.4846
Ho 0.7349 -4.0649 6.0492
Ho -1.0903 0.9664 3.9397
```

---

Compound: AlHIr3
Source: the Alexandria database
Functional: PBE
Structure: relaxed

Output
Total energy ... -6.928 eV per atom
Energy above the most stable polymorph in this dataset ... 0.0000 eV per atom
Magnetization ... 0.0 μB/f.u.
N(E_F) ... 4.7 states/eV per cell

```
5
Lattice="3.9215 0.0000 0.0000 0.0000 3.9215 0.0000 0.0000 0.0000 3.9215" Properties=species:S:1:pos:R:3 pbc="T T T"
H 0.0000 0.0000 0.0000
Ir 0.0000 1.9607 0.0000
Ir 0.0000 0.0000 1.9607
Ir 1.9607 0.0000 0.0000
Al 1.9607 1.9607 1.9607
```

---

Compound: Rb4Pr3GaS8
Source: the Alexandria database
Functional: PBE
Structure: relaxed

Output
Uncorrected formation energy ... -1.491 eV per atom
Total energy ... -4.882 eV per atom
Magnetization ... 0.0 μB/f.u.

```
16
Lattice="8.2589 0.0000 0.0000 0.0000 9.0963 0.5036 -4.1295 -4.1731 5.9222" Properties=species:S:1:pos:R:3 pbc="T T T"
Rb 4.1295 0.0000 0.0000
Rb 2.0647 -2.0866 2.9611
Rb 0.0000 0.0000 0.0000
Rb -2.0647 -2.0866 2.9611
Pr 4.1295 4.5482 0.2518
Pr 2.0647 2.4616 3.2129
Pr -2.0647 2.4616 3.2129
Ga 0.0000 4.5482 0.2518
S -2.2717 2.1765 6.1049
S 0.0000 4.4424 3.0814
S 0.0000 0.4856 3.3174
S 2.2717 2.1765 6.1049
S 1.8577 2.7467 0.3209
S 4.1294 4.4376 3.1084
S 4.1294 0.4808 3.3444
S 6.4012 2.7467 0.3209
```

---

Compound: ReSbAs2
Source: the Alexandria database
Functional: PBE
Structure: relaxed

Output
Uncorrected formation energy ... 0.458 eV per atom
Total energy ... -6.010 eV per atom
Magnetization ... 0.0 μB/f.u.
N(E_F) ... 3.4 states/eV per cell

```
4
Lattice="-2.3960 0.0074 5.8436 -0.5390 -4.9350 3.9043 3.4876 3.8965 -3.5415" Properties=species:S:1:pos:R:3 pbc="T T T"
Re 0.7406 -1.7511 2.6184
As -0.1939 -0.3255 0.6439
As -1.2736 -2.1383 4.2301
Sb -0.1879 0.7201 3.5880
```

---

Compound: Ba2Li3TlAu4
Source: the Alexandria database
Functional: PBE
Structure: relaxed

Output
E_form ... -0.54 eV per atom
Total energy ... -3.049 eV per atom
Magnetization ... 0.0 μB/f.u.
N(E_F) ... 5.5 states/eV per cell

```
10
Lattice="-3.0639 3.4594 -0.8368 -2.9790 -3.0968 -1.8947 -4.6790 -1.6945 10.1263" Properties=species:S:1:pos:R:3 pbc="T T T"
Ba -2.6276 1.3329 1.9527
Ba -5.0729 -2.8462 6.8079
Li -2.3395 -0.8473 5.0632
Li -5.7125 0.2157 8.6292
Li -1.9880 -1.7289 0.1314
Tl -5.3610 -0.6660 3.6974
Au -3.0215 0.1813 -1.3658
Au 0.0000 0.0000 0.0000
Au -4.6004 0.6184 6.2223
Au -3.1001 -2.1317 2.5383
```

---

Compound: LiTe
Source: the Alexandria database
Functional: PBE
Structure: relaxed

Output
Uncorrected formation energy ... -0.649 eV per atom
Total energy ... -3.177 eV per atom
Energy above the most stable polymorph in this dataset ... 0.0723 eV per atom
Magnetization ... 0.0 μB/f.u.

```
8
Lattice="6.8202 0.0000 0.0000 0.0000 6.8202 0.0000 0.0000 0.0000 5.2149" Properties=species:S:1:pos:R:3 pbc="T T T"
Li 1.6540 5.1662 0.0000
Li 5.0641 5.0641 2.6075
Li 1.7561 1.7561 2.6075
Li 5.1662 1.6540 0.0000
Te 2.4139 2.4139 0.0000
Te 5.8240 0.9962 2.6075
Te 0.9962 5.8240 2.6075
Te 4.4063 4.4063 0.0000
```

---

Compound: NpMo2C
Source: the Alexandria database
Functional: PBE
Structure: relaxed

Output
E_form ... 0.44 eV per atom
Total energy ... -10.521 eV per atom
Magnetization ... 3.5 μB/f.u.
N(E_F) ... 6.1 states/eV per cell

```
4
Lattice="-2.0694 2.1849 -0.2825 -2.9204 -0.7153 -0.3097 -2.5394 0.6735 7.6403" Properties=species:S:1:pos:R:3 pbc="T T T"
Np 0.0000 0.0000 0.0000
Mo -2.2368 0.6101 4.9330
Mo -5.2924 1.5330 2.1150
C -3.7646 1.0715 3.5240
```

---

Compound: MnCo4H
Source: the Alexandria database
Functional: PBE
Structure: relaxed

Output
Total energy ... -6.709 eV per atom
Magnetization ... 9.3 μB/f.u.
N(E_F) ... 12.2 states/eV per cell

```
12
Lattice="-3.7315 4.6038 2.3792 -4.0551 -1.8480 0.6731 -0.8572 -2.0382 4.3282" Properties=species:S:1:pos:R:3 pbc="T T T"
Mn -4.6257 2.3380 2.8045
Mn -4.0181 -1.6205 4.5760
Co -4.8598 0.8109 4.7810
Co -1.8016 -1.7962 3.5405
Co -7.2708 0.8975 5.5121
Co -6.4040 -1.2833 5.0332
Co -2.2397 2.0008 2.3474
Co -1.3730 -0.1800 1.8685
Co -6.8421 2.5138 3.8400
Co -3.7840 -0.0934 2.5996
H -4.9415 -0.7413 1.4263
H -3.7023 1.4589 5.9543
```

---

Compound: HfSbAsBr2
Source: the Alexandria database
Functional: PBE
Structure: relaxed

Output
Uncorrected formation energy ... 0.782 eV per atom
Total energy ... -3.632 eV per atom
Energy above the most stable polymorph in this dataset ... 0.8930 eV per atom
Magnetization ... 1.3 μB/f.u.
N(E_F) ... 5.1 states/eV per cell

```
5
Lattice="-2.7004 -3.6751 2.8975 4.1268 -0.2924 3.4753 -2.2423 4.0132 3.0003" Properties=species:S:1:pos:R:3 pbc="T T T"
Sb 0.0000 0.0000 0.0000
As -1.1212 2.0066 1.5002
Hf -0.4080 0.0229 4.6865
Br 2.0634 -0.1462 1.7376
Br -1.3502 -1.8375 1.4487
```

---

Compound: Ce6TlGe3
Source: the Alexandria database
Functional: PBE
Structure: relaxed

Output
E_form ... -0.45 eV per atom
Total energy ... -5.633 eV per atom
Magnetization ... 3.0 μB/f.u.
N(E_F) ... 45.9 states/eV per cell

```
20
Lattice="7.5780 0.0000 0.0000 0.0000 8.2822 0.8335 0.0000 -1.0357 8.2593" Properties=species:S:1:pos:R:3 pbc="T T T"
Ce 1.0465 5.5267 5.4020
Ce 4.8355 4.0325 6.5928
Ce 2.5275 3.7748 8.1031
Ce 6.3165 7.0565 5.4878
Ce 1.3201 -0.4958 7.8291
Ce 4.5617 1.2533 6.4351
Ce 0.7727 5.9932 2.6577
Ce 5.1092 7.7423 1.2637
Ce 2.5275 0.1900 3.6050
Ce 6.3165 3.4717 0.9897
Ce 1.0465 3.2140 2.5000
Ce 4.8355 1.7197 3.6908
Tl 0.0620 1.8479 5.9613
Tl 3.8510 5.3986 3.1315
Ge 3.5213 6.7009 6.9057
Ge 7.3104 5.2363 8.0730
Ge 2.4886 2.9143 5.1114
Ge 6.2776 4.3322 3.9814
Ge 7.3104 0.5455 2.1871
Ge 3.5213 2.0102 1.0198
```

---

Compound: TlBiS
Source: the Alexandria database
Functional: PBE
Structure: relaxed

Output
Uncorrected formation energy ... 0.029 eV per atom
Total energy ... -3.429 eV per atom
Energy above the most stable polymorph in this dataset ... 0.0768 eV per atom
Magnetization ... 0.0 μB/f.u.
N(E_F) ... 2.7 states/eV per cell

```
6
Lattice="7.3092 0.0000 0.0000 0.0000 3.6074 0.0000 -3.6546 -1.8037 7.3646" Properties=species:S:1:pos:R:3 pbc="T T T"
Tl 3.6546 0.0000 2.6401
Tl 0.0000 1.8037 4.7245
Bi 5.4033 1.8037 0.0000
Bi 1.9059 1.8037 0.0000
S 0.0000 1.8037 1.8163
S 3.6546 0.0000 5.5483
```

---

Compound: PrSm8Tm2
Source: the Alexandria database
Functional: PBE
Structure: relaxed

Output
E_form ... 0.14 eV per atom
Total energy ... -4.536 eV per atom
Magnetization ... 0.0 μB/f.u.
N(E_F) ... 16.9 states/eV per cell

```
11
Lattice="-2.3872 -2.2672 -4.5588 1.4053 -9.1761 4.4891 -4.8056 -6.4943 6.4077" Properties=species:S:1:pos:R:3 pbc="T T T"
Pr 0.0000 0.0000 0.0000
Sm -3.3221 -5.7169 3.2044
Sm -0.4458 -6.9589 2.3159
Sm -2.4653 -12.2208 3.1336
Sm -2.4230 -9.0874 4.8586
Sm -5.3416 -10.9788 4.0221
Sm -1.1953 -3.4852 1.0022
Sm -4.5921 -14.4524 5.3358
Sm -3.3644 -8.8503 1.4794
Tm -2.7510 -6.1553 -0.3018
Tm -3.0364 -11.7824 6.6398
```

---

Compound: GaPd4S
Source: the Alexandria database
Functional: PBE
Structure: relaxed

Output
Uncorrected formation energy ... -0.301 eV per atom
Total energy ... -4.956 eV per atom
Magnetization ... 0.0 μB/f.u.
N(E_F) ... 8.9 states/eV per cell

```
12
Lattice="5.8163 0.5190 0.0000 -0.4948 5.8142 0.0000 -2.6607 -3.1666 5.8446" Properties=species:S:1:pos:R:3 pbc="T T T"
Ga 1.2066 3.0369 1.4583
Ga 1.4541 0.1298 4.3864
Pd -0.3841 4.2894 3.0016
Pd 5.3697 4.8962 0.0757
Pd -0.1367 1.3823 2.8430
Pd -0.1992 1.4700 5.7689
Pd 3.0448 -1.1228 2.8430
Pd 2.7974 1.7843 3.0016
Pd -2.7090 -1.7295 5.7689
Pd 2.8599 1.6966 0.0757
S 4.3622 0.3893 1.4684
S -1.7015 2.7774 4.3762
```

---

Compound: LiHfP2S
Source: the Alexandria database
Functional: PBE
Structure: relaxed

Output
Uncorrected formation energy ... 0.338 eV per atom
Total energy ... -5.025 eV per atom
Energy above the most stable polymorph in this dataset ... 0.5392 eV per atom
Magnetization ... 0.0 μB/f.u.
N(E_F) ... 3.0 states/eV per cell

```
5
Lattice="-2.3500 -2.7167 1.6787 0.0229 -2.8122 -4.5190 3.1935 -1.9880 1.2533" Properties=species:S:1:pos:R:3 pbc="T T T"
P 1.5967 -0.9940 0.6267
P -1.1750 -1.3584 0.8394
S 0.4332 -3.7585 -0.7935
Hf 0.0115 -1.4061 -2.2595
Li 0.0000 0.0000 0.0000
```

---

Compound: Pm12AlSn7
Source: the Alexandria database
Functional: PBE
Structure: relaxed

Output
E_form ... -0.47 eV per atom
Total energy ... -4.911 eV per atom
Magnetization ... 0.0 μB/f.u.
N(E_F) ... 23.5 states/eV per cell

```
20
Lattice="-3.7038 -1.0435 8.2592 -6.6807 -0.5532 -6.1712 5.7231 -6.9470 -1.4167" Properties=species:S:1:pos:R:3 pbc="T T T"
Pm -1.6064 -5.2667 3.6388
Pm -3.8751 -2.3707 2.8706
Pm -0.0582 -2.0810 2.2078
Pm -4.8059 -6.0438 2.3855
Pm 1.0168 -5.1907 0.9485
Pm -1.7049 -7.8640 0.7516
Pm -2.9564 -0.6796 -0.0803
Pm -5.6781 -3.3529 -0.2772
Pm 0.1445 -2.4998 -1.7142
Pm -4.6031 -6.4626 -1.5365
Pm -0.7862 -6.1729 -2.1993
Pm -3.0550 -3.2769 -2.9675
Al 0.0000 0.0000 0.0000
Sn 0.9503 -7.3189 -4.4850
Sn 3.6988 -6.5842 1.5953
Sn -3.9766 -2.9858 -5.9033
Sn -2.3307 -4.2718 0.3357
Sn -0.6847 -5.5578 6.5747
Sn -8.3601 -1.9594 -0.9239
Sn -5.6117 -1.2247 5.1563
```

---

Compound: As2RuPbAu
Source: the Alexandria database
Functional: PBE
Structure: relaxed

Output
E_form ... 1.72 eV per atom
Total energy ... -3.390 eV per atom
Magnetization ... 2.7 μB/f.u.
N(E_F) ... 7.0 states/eV per cell

```
5
Lattice="-0.3389 3.2273 4.2480 -2.5185 -3.7192 2.6246 4.6652 -1.8855 1.8046" Properties=species:S:1:pos:R:3 pbc="T T T"
Pb 0.0000 0.0000 0.0000
Ru 0.9039 -1.1887 4.3386
As 2.3326 -0.9428 0.9023
As -0.1694 1.6136 2.1240
Au -1.2592 -1.8596 1.3123
```

---

Compound: K2TcIrF
Source: the Alexandria database
Functional: PBE
Structure: relaxed

Output
Uncorrected formation energy ... 0.448 eV per atom
Total energy ... -4.211 eV per atom
Magnetization ... 2.6 μB/f.u.
N(E_F) ... 4.4 states/eV per cell

```
5
Lattice="6.4604 0.0000 0.0000 0.0000 6.4604 0.0000 0.0000 0.0000 4.5727" Properties=species:S:1:pos:R:3 pbc="T T T"
K 0.0000 3.2302 0.0000
K 3.2302 0.0000 0.0000
Ir 0.0000 0.0000 2.2864
Tc 0.0000 0.0000 0.0000
F 3.2302 3.2302 2.2864
```

---

Compound: PtAu3C
Source: the Alexandria database
Functional: PBE
Structure: relaxed

Output
E_form ... 0.77 eV per atom
Total energy ... -4.249 eV per atom
Energy above the most stable polymorph in this dataset ... 0.0000 eV per atom
Magnetization ... 0.0 μB/f.u.
N(E_F) ... 1.5 states/eV per cell

```
5
Lattice="4.2998 0.0000 0.0000 0.0000 4.2998 0.0000 0.0000 0.0000 4.2998" Properties=species:S:1:pos:R:3 pbc="T T T"
C 0.0000 0.0000 0.0000
Au 0.0000 2.1499 0.0000
Au 0.0000 0.0000 2.1499
Au 2.1499 0.0000 0.0000
Pt 2.1499 2.1499 2.1499
```

---

Compound: CeH7Pt5
Source: the Alexandria database
Functional: PBE
Structure: relaxed

Output
Total energy ... -4.795 eV per atom
Magnetization ... 0.4 μB/f.u.
N(E_F) ... 5.3 states/eV per cell

```
13
Lattice="-2.8121 4.8037 -2.7246 -3.1415 -2.0020 -5.6983 -1.9326 1.9840 4.7518" Properties=species:S:1:pos:R:3 pbc="T T T"
Ce -0.9113 0.6502 -0.0002
H -3.0567 2.4700 -1.4288
H -4.8083 3.1277 -2.2029
H -6.5670 5.0600 -2.3578
H -2.5456 -0.2315 -1.8415
H -3.1422 3.7785 2.4774
H -3.9968 0.7982 -3.1866
H -3.3675 2.2376 0.9851
Pt -5.0604 1.2581 -4.4750
Pt -6.8987 4.0443 -5.1175
Pt -4.2008 3.4130 -0.5930
Pt -6.0599 5.5930 -0.7192
Pt -6.5205 3.2847 -2.4852
```